Record 1
Compound: Hf2BiOs
Source: OQMD via LeMat-Bulk
Functional: PBE-GGA
Structure: optimized geometry

Geometry as POSCAR:
```
Hf2BiOs
1.0
1.3835 -4.6138 -0.6001
-2.9746 -3.1631 -2.1697
1.0454 -1.6625 -4.4390
Bi Hf Os
1 2 1
Direct
0.5000 0.5000 0.5000
0.0000 0.0000 0.0000
0.7500 0.7500 0.7500
0.2500 0.2500 0.2500
```

Calculated values
* space-group type: No. 216
* total moment: 1.6 μB/f.u.
* uncorrected energy: -8.474 eV per atom
* density: 15.527 g/cm³



Record 2
Compound: Li2TaCuSe4
Source: OQMD via LeMat-Bulk
Functional: PBE-GGA
Structure: optimized geometry

Geometry as POSCAR:
```
Li2TaCuSe4
1.0
-3.9209 3.8132 2.7549
-4.2157 -4.4396 0.1449
1.9265 -1.6646 5.0460
Cu Li Se Ta
1 2 4 1
Direct
0.0000 0.0000 0.0000
0.5000 0.0000 0.5000
0.0000 0.5000 0.5000
0.2306 0.2306 0.2541
0.7694 0.7694 0.2541
0.7694 0.2306 0.7459
0.2306 0.7694 0.7459
0.0000 0.0000 0.5000
```

Calculated values
* space-group type: No. 111
* total moment: 0.0 μB/f.u.
* uncorrected energy: -5.032 eV per atom
* density: 4.498 g/cm³



Record 3
Compound: Cu6Ag6Sb4TeSe12
Source: OQMD via LeMat-Bulk
Functional: PBE-GGA
Structure: optimized geometry

Geometry as POSCAR:
```
Cu6Ag6Sb4TeSe12
1.0
4.0288 -8.8951 1.0325
-0.4448 4.4278 8.7531
-9.0621 -0.9170 -3.6684
Ag Cu Sb Se Te
6 6 4 12 1
Direct
0.2408 0.2408 0.0000
0.7592 0.7592 0.0000
0.2408 0.0000 0.2408
0.0000 0.2408 0.2408
0.7592 0.0000 0.7592
0.0000 0.7592 0.7592
0.7500 0.5000 0.2500
0.5000 0.7500 0.2500
0.7500 0.2500 0.5000
0.2500 0.7500 0.5000
0.5000 0.2500 0.7500
0.2500 0.5000 0.7500
0.5530 0.0000 0.0000
0.0000 0.5530 0.0000
0.4470 0.4470 0.4470
0.0000 0.0000 0.5530
0.5077 0.2513 0.0000
0.2513 0.5077 0.0000
0.5077 0.0000 0.2513
0.0000 0.5077 0.2513
0.7487 0.7487 0.2564
0.7436 0.4923 0.4923
0.4923 0.7436 0.4923
0.2513 0.0000 0.5077
0.0000 0.2513 0.5077
0.4923 0.4923 0.7436
0.7487 0.2564 0.7487
0.2564 0.7487 0.7487
0.0000 0.0000 0.0000
```

Calculated values
* space-group type: No. 217
* uncorrected energy: -3.620 eV per atom
* density: 5.902 g/cm³



Record 4
Compound: KRbHg
Source: OQMD via LeMat-Bulk
Functional: PBE-GGA
Structure: optimized geometry

Geometry as POSCAR:
```
KRbHg
1.0
5.5218 0.6048 2.6587
0.4485 2.3944 5.6560
1.5392 -3.5991 4.7541
Hg K Rb
1 1 1
Direct
0.0000 0.0000 0.0000
0.2500 0.2500 0.2500
0.7500 0.7500 0.7500
```

Calculated values
* space-group type: No. 216
* uncorrected energy: -0.923 eV per atom
* density: 3.270 g/cm³



Record 5
Compound: Hf3ZrSn2C2
Source: OQMD via LeMat-Bulk
Functional: PBE-GGA
Structure: optimized geometry

Geometry as POSCAR:
```
Hf3ZrSn2C2
1.0
3.3434 0.0000 0.0000
-1.6717 2.8955 0.0000
0.0000 0.0000 14.6108
C Hf Sn Zr
2 3 2 1
Direct
0.6667 0.3333 0.5004
0.6667 0.3333 0.9967
0.0000 0.0000 0.4165
0.3333 0.6667 0.5842
0.3333 0.6667 0.9149
0.3333 0.6667 0.2520
0.0000 0.0000 0.7496
0.0000 0.0000 0.0857
```

Calculated values
* space-group type: No. 156
* total moment: 0.0 μB/f.u.
* uncorrected energy: -8.884 eV per atom
* density: 10.427 g/cm³



Record 6
Compound: CsDySO
Source: OQMD via LeMat-Bulk
Functional: PBE-GGA
Structure: optimized geometry

Geometry as POSCAR:
```
CsDySO
1.0
3.7666 0.0000 0.0000
-1.8833 3.2620 0.0000
0.0000 0.0000 14.9345
Cs Dy O S
2 2 2 2
Direct
0.6667 0.3333 0.2211
0.3333 0.6667 0.7789
0.0000 0.0000 0.0000
0.0000 0.0000 0.5000
0.3333 0.6667 0.0708
0.6667 0.3333 0.9292
0.3333 0.6667 0.3933
0.6667 0.3333 0.6067
```

Calculated values
* space-group type: No. 164
* total moment: 0.0 μB/f.u.
* uncorrected energy: -5.764 eV per atom
* density: 6.217 g/cm³